(1)
RbInCu2Br: relaxed, PBE-GGA.

Its raw formation energy is 68.1 meV/atom.

Unit cell a=4.974 b=9.054 c=4.974 alpha=90.00 beta=90.00 gamma=90.00
Fractional coordinates of all 5 atoms:
Cu  0.000  0.000  0.500
Cu  0.500  0.000  0.000
Br  0.500  0.500  0.500
Rb  0.000  0.500  0.000
In  0.000  0.000  0.000

***

(2)
ZnGa4Ag3: relaxed, PBE-GGA.

For the formation energy, the calculation gives 82 meV/atom.

Unit cell a=6.279 b=6.279 c=6.279 alpha=77.10 beta=131.39 gamma=124.19
Fractional coordinates of all 8 atoms:
Ga  0.579  0.249  0.330
Ga  0.081  0.751  0.330
Ga  0.102  0.768  0.869
Ga  0.102  0.232  0.334
Ag  0.795  0.000  0.795
Ag  0.602  0.279  0.881
Ag  0.602  0.721  0.323
Zn  0.289  0.500  0.789

***

(3)
Sm2ErPa2Ru5: relaxed, PBE-GGA.

For the formation energy, the calculation gives -293 meV/atom.

Unit cell a=3.696 b=10.660 c=10.660 alpha=90.00 beta=90.00 gamma=90.00
Fractional coordinates of all 20 atoms:
Ru  0.500  0.791  0.946
Ru  0.500  0.946  0.209
Ru  0.500  0.291  0.554
Ru  0.500  0.000  0.500
Ru  0.500  0.054  0.791
Ru  0.500  0.709  0.446
Ru  0.500  0.209  0.054
Ru  0.500  0.446  0.291
Ru  0.500  0.500  0.000
Ru  0.500  0.554  0.709
Sm  0.000  0.174  0.326
Sm  0.000  0.826  0.674
Sm  0.000  0.674  0.174
Sm  0.000  0.326  0.826
Pa  0.000  0.634  0.866
Pa  0.000  0.366  0.134
Pa  0.000  0.134  0.634
Pa  0.000  0.866  0.366
Er  0.000  0.500  0.500
Er  0.000  0.000  0.000

***

(4)
Th7Bi: relaxed, PBE-GGA.

For the formation energy, the calculation gives -127 meV/atom.

Unit cell a=7.085 b=7.085 c=7.085 alpha=60.00 beta=60.00 gamma=60.00
Fractional coordinates of all 8 atoms:
Th  0.500  0.500  0.000
Th  0.000  0.500  0.500
Th  0.500  0.500  0.500
Th  0.500  0.000  0.000
Th  0.000  0.500  0.000
Th  0.500  0.000  0.500
Th  0.000  0.000  0.500
Bi  0.000  0.000  0.000

***

(5)
Y2TaVRu: relaxed, PBE-GGA.

For the formation energy, the calculation gives 971 meV/atom.

Unit cell a=5.231 b=4.324 c=5.231 alpha=90.00 beta=90.00 gamma=90.00
Each line ends with the local moment (μB).
Fractional coordinates of all 5 atoms:
Y  0.000  0.000  0.500  0.09
Y  0.500  0.000  0.000  0.07
Ru  0.000  0.500  0.000  -0.17
V  0.000  0.000  0.000  -0.39
Ta  0.500  0.500  0.500  1.35

***

(6)
CdIn: relaxed, PBE-GGA.

For the formation energy, the calculation gives 30 meV/atom.

Unit cell a=6.227 b=6.227 c=4.818 alpha=90.00 beta=90.00 gamma=146.79
Fractional coordinates of all 4 atoms:
Cd  0.576  0.424  0.750
Cd  0.424  0.576  0.250
In  0.834  0.166  0.750
In  0.166  0.834  0.250

***

(7)
La6CoCu2Br3: relaxed, PBE-GGA.

Its raw formation energy is -745.4 meV/atom.

Unit cell a=7.278 b=7.278 c=8.118 alpha=98.80 beta=98.80 gamma=119.29
Fractional coordinates of all 12 atoms:
Br  0.500  0.500  0.500
Br  0.829  0.171  0.500
Br  0.171  0.829  0.500
La  0.245  0.245  0.792
La  0.066  0.378  0.202
La  0.934  0.622  0.798
La  0.622  0.934  0.798
La  0.378  0.066  0.202
La  0.755  0.755  0.208
Cu  0.665  0.335  0.000
Cu  0.335  0.665  0.000
Co  0.000  0.000  0.000

***

(8)
CeErBi: relaxed, PBE-GGA.

For the formation energy, the calculation gives -371 meV/atom.

Unit cell a=4.081 b=4.081 c=6.112 alpha=109.51 beta=109.51 gamma=90.00
Each line ends with the local moment (μB).
Fractional coordinates of all 3 atoms:
Er  0.600  0.600  0.201  0.19
Ce  0.292  0.292  0.585  0.84
Bi  0.957  0.957  0.914  -0.01

***

Number 1: total moment 0.0 μB per formula unit, density of states at the Fermi level 0.32 states/eV per atom. Number 2: total moment 0.0 μB per formula unit, density of states at the Fermi level 0.26 states/eV per atom. Number 3: total moment 0.0 μB per formula unit, density of states at the Fermi level 0.71 states/eV per atom. Number 4: total moment 0.0 μB per formula unit, density of states at the Fermi level 1.32 states/eV per atom. Number 5: total moment 1.7 μB per formula unit, density of states at the Fermi level 0.99 states/eV per atom. Number 6: total moment 0.0 μB per formula unit, density of states at the Fermi level 0.30 states/eV per atom. Number 7: total moment 0.0 μB per formula unit, density of states at the Fermi level 1.04 states/eV per atom. Number 8: total moment 1.3 μB per formula unit, density of states at the Fermi level 2.61 states/eV per atom.